Entry 1:
A PBEsol-optimized structure of Dy6Al43Mo4, computed with meta-GGA SCAN.

Properties
ΔE_f (kJ/mol of formula units): -1752
DOS at the Fermi energy (states/eV/atom): 0.3697

a b c (Å): 10.9101 10.9101 17.6071
angles (deg): 90.00 90.00 120.00
Last column: nearest neighbours and their distance in Å.
Fractional positions:
Dy: 0.0000 0.4686 0.0951  15 Al 3.04-3.39
Dy: 0.0000 0.4686 0.4049  15 Al 3.04-3.39
Dy: 0.0000 0.5314 0.5951  15 Al 3.04-3.39
Dy: 0.0000 0.5314 0.9049  15 Al 3.04-3.39
Dy: 0.4686 0.0000 0.0951  15 Al 3.04-3.39
Dy: 0.4686 0.0000 0.4049  15 Al 3.04-3.39
Dy: 0.4686 0.4686 0.5951  15 Al 3.04-3.39
Dy: 0.4686 0.4686 0.9049  15 Al 3.04-3.39
Dy: 0.5314 0.0000 0.5951  15 Al 3.04-3.39
Dy: 0.5314 0.0000 0.9049  15 Al 3.04-3.39
Dy: 0.5314 0.5314 0.0951  15 Al 3.04-3.39
Dy: 0.5314 0.5314 0.4049  15 Al 3.04-3.39
Al: 0.0000 0.1472 0.7500  2 Mo 2.56, 6 Al 2.78-2.80
Al: 0.0000 0.1591 0.1149  2 Mo 2.67, 7 Al 2.71-2.91
Al: 0.0000 0.1591 0.3851  2 Mo 2.67, 7 Al 2.71-2.91
Al: 0.0000 0.2539 0.5300  9 Al 2.71-2.96, 1 Mo 2.82
Al: 0.0000 0.2539 0.9700  9 Al 2.71-2.96, 1 Mo 2.82
Al: 0.0000 0.7461 0.0300  9 Al 2.71-2.96, 1 Mo 2.82
Al: 0.0000 0.7461 0.4700  9 Al 2.71-2.96, 1 Mo 2.82
Al: 0.0000 0.8409 0.6149  2 Mo 2.67, 7 Al 2.71-2.91
Al: 0.0000 0.8409 0.8851  2 Mo 2.67, 7 Al 2.71-2.91
Al: 0.0000 0.8528 0.2500  2 Mo 2.56, 6 Al 2.78-2.80
Al: 0.1472 0.0000 0.7500  2 Mo 2.56, 6 Al 2.78-2.80
Al: 0.1472 0.1472 0.2500  2 Mo 2.56, 6 Al 2.78-2.80
Al: 0.1476 0.5512 0.2500  1 Mo 2.65, 7 Al 2.73-2.82
Al: 0.1476 0.5963 0.7500  1 Mo 2.65, 7 Al 2.73-2.82
Al: 0.1573 0.3937 0.6638  1 Mo 2.70, 7 Al 2.70-2.97
Al: 0.1573 0.3937 0.8362  1 Mo 2.70, 7 Al 2.70-2.97
Al: 0.1573 0.7636 0.1638  1 Mo 2.70, 7 Al 2.70-2.97
Al: 0.1573 0.7636 0.3362  1 Mo 2.70, 7 Al 2.70-2.97
Al: 0.1591 0.0000 0.1149  2 Mo 2.67, 7 Al 2.71-2.91
Al: 0.1591 0.0000 0.3851  2 Mo 2.67, 7 Al 2.71-2.91
Al: 0.1591 0.1591 0.6149  2 Mo 2.67, 7 Al 2.71-2.91
Al: 0.1591 0.1591 0.8851  2 Mo 2.67, 7 Al 2.71-2.91
Al: 0.2364 0.3937 0.1638  1 Mo 2.70, 7 Al 2.70-2.97
Al: 0.2364 0.3937 0.3362  1 Mo 2.70, 7 Al 2.70-2.97
Al: 0.2364 0.8427 0.6638  1 Mo 2.70, 7 Al 2.70-2.97
Al: 0.2364 0.8427 0.8362  1 Mo 2.70, 7 Al 2.70-2.97
Al: 0.2470 0.4939 0.0000  6 Al 2.71-2.83
Al: 0.2470 0.4939 0.5000  6 Al 2.71-2.83
Al: 0.2470 0.7530 0.0000  6 Al 2.71-2.83
Al: 0.2470 0.7530 0.5000  6 Al 2.71-2.83
Al: 0.2539 0.0000 0.5300  9 Al 2.71-2.96, 1 Mo 2.82
Al: 0.2539 0.0000 0.9700  9 Al 2.71-2.96, 1 Mo 2.82
Al: 0.2539 0.2539 0.0300  9 Al 2.71-2.96, 1 Mo 2.82
Al: 0.2539 0.2539 0.4700  9 Al 2.71-2.96, 1 Mo 2.82
Al: 0.3333 0.6667 0.1255  9 Al 2.70-2.82
Al: 0.3333 0.6667 0.3745  9 Al 2.70-2.82
Al: 0.3333 0.6667 0.6255  9 Al 2.70-2.82
Al: 0.3333 0.6667 0.8745  9 Al 2.70-2.82
Al: 0.3937 0.1573 0.6638  1 Mo 2.70, 7 Al 2.70-2.97
Al: 0.3937 0.1573 0.8362  1 Mo 2.70, 7 Al 2.70-2.97
Al: 0.3937 0.2364 0.1638  1 Mo 2.70, 7 Al 2.70-2.97
Al: 0.3937 0.2364 0.3362  1 Mo 2.70, 7 Al 2.70-2.97
Al: 0.4037 0.5512 0.7500  1 Mo 2.65, 7 Al 2.73-2.82
Al: 0.4037 0.8524 0.2500  1 Mo 2.65, 7 Al 2.73-2.82
Al: 0.4488 0.5963 0.2500  1 Mo 2.65, 7 Al 2.73-2.82
Al: 0.4488 0.8524 0.7500  1 Mo 2.65, 7 Al 2.73-2.82
Al: 0.4939 0.2470 0.0000  6 Al 2.71-2.83
Al: 0.4939 0.2470 0.5000  6 Al 2.71-2.83
Al: 0.5061 0.7530 0.0000  6 Al 2.71-2.83
Al: 0.5061 0.7530 0.5000  6 Al 2.71-2.83
Al: 0.5512 0.1476 0.2500  1 Mo 2.65, 7 Al 2.73-2.82
Al: 0.5512 0.4037 0.7500  1 Mo 2.65, 7 Al 2.73-2.82
Al: 0.5963 0.1476 0.7500  1 Mo 2.65, 7 Al 2.73-2.82
Al: 0.5963 0.4488 0.2500  1 Mo 2.65, 7 Al 2.73-2.82
Al: 0.6063 0.7636 0.6638  1 Mo 2.70, 7 Al 2.70-2.97
Al: 0.6063 0.7636 0.8362  1 Mo 2.70, 7 Al 2.70-2.97
Al: 0.6063 0.8427 0.1638  1 Mo 2.70, 7 Al 2.70-2.97
Al: 0.6063 0.8427 0.3362  1 Mo 2.70, 7 Al 2.70-2.97
Al: 0.6667 0.3333 0.1255  9 Al 2.70-2.82
Al: 0.6667 0.3333 0.3745  9 Al 2.70-2.82
Al: 0.6667 0.3333 0.6255  9 Al 2.70-2.82
Al: 0.6667 0.3333 0.8745  9 Al 2.70-2.82
Al: 0.7461 0.0000 0.0300  9 Al 2.71-2.96, 1 Mo 2.82
Al: 0.7461 0.0000 0.4700  9 Al 2.71-2.96, 1 Mo 2.82
Al: 0.7461 0.7461 0.5300  9 Al 2.71-2.96, 1 Mo 2.82
Al: 0.7461 0.7461 0.9700  9 Al 2.71-2.96, 1 Mo 2.82
Al: 0.7530 0.2470 0.0000  6 Al 2.71-2.83
Al: 0.7530 0.2470 0.5000  6 Al 2.71-2.83
Al: 0.7530 0.5061 0.0000  6 Al 2.71-2.83
Al: 0.7530 0.5061 0.5000  6 Al 2.71-2.83
Al: 0.7636 0.1573 0.1638  1 Mo 2.70, 7 Al 2.70-2.97
Al: 0.7636 0.1573 0.3362  1 Mo 2.70, 7 Al 2.70-2.97
Al: 0.7636 0.6063 0.6638  1 Mo 2.70, 7 Al 2.70-2.97
Al: 0.7636 0.6063 0.8362  1 Mo 2.70, 7 Al 2.70-2.97
Al: 0.8409 0.0000 0.6149  2 Mo 2.67, 7 Al 2.71-2.91
Al: 0.8409 0.0000 0.8851  2 Mo 2.67, 7 Al 2.71-2.91
Al: 0.8409 0.8409 0.1149  2 Mo 2.67, 7 Al 2.71-2.91
Al: 0.8409 0.8409 0.3851  2 Mo 2.67, 7 Al 2.71-2.91
Al: 0.8427 0.2364 0.6638  1 Mo 2.70, 7 Al 2.70-2.97
Al: 0.8427 0.2364 0.8362  1 Mo 2.70, 7 Al 2.70-2.97
Al: 0.8427 0.6063 0.1638  1 Mo 2.70, 7 Al 2.70-2.97
Al: 0.8427 0.6063 0.3362  1 Mo 2.70, 7 Al 2.70-2.97
Al: 0.8524 0.4037 0.2500  1 Mo 2.65, 7 Al 2.73-2.82
Al: 0.8524 0.4488 0.7500  1 Mo 2.65, 7 Al 2.73-2.82
Al: 0.8528 0.0000 0.2500  2 Mo 2.56, 6 Al 2.78-2.80
Al: 0.8528 0.8528 0.7500  2 Mo 2.56, 6 Al 2.78-2.80
Mo: 0.0000 0.0000 0.0000  12 Al 2.67-2.82
Mo: 0.0000 0.0000 0.5000  12 Al 2.67-2.82
Mo: 0.0000 0.2709 0.2500  10 Al 2.56-2.70
Mo: 0.0000 0.7291 0.7500  10 Al 2.56-2.70
Mo: 0.2709 0.0000 0.2500  10 Al 2.56-2.70
Mo: 0.2709 0.2709 0.7500  10 Al 2.56-2.70
Mo: 0.7291 0.0000 0.7500  10 Al 2.56-2.70
Mo: 0.7291 0.7291 0.2500  10 Al 2.56-2.70

Entry 2:
A PBEsol-optimized structure of BiSbSN2, computed with meta-GGA SCAN.

Properties
Uncorrected formation energy (eV/atom): 1.0313
DOS at the Fermi energy (states/eV/atom): 0.5316

a b c (Å): 4.0843 4.0843 4.9961
angles (deg): 90.00 90.00 90.00
Last column: nearest neighbours and their distance in Å.
Fractional positions:
Bi: 0.0000 0.0000 0.0000  4 S 2.89, 8 N 3.23
Sb: 0.5000 0.5000 0.5000  4 N 2.04
S: 0.5000 0.5000 0.0000  2 Sb 2.50
N: 0.0000 0.5000 0.5000  2 Sb 2.04
N: 0.5000 0.0000 0.5000  2 Sb 2.04

Entry 3:
A PBEsol-optimized structure of CdAg2Hg, computed with meta-GGA SCAN.

Properties
ΔE_f (kJ/mol of formula units): 7
DOS at the Fermi energy (states/eV/atom): 0.2049

a b c (Å): 3.0167 3.0167 28.1423
angles (deg): 90.00 90.00 120.00
Last column: nearest neighbours and their distance in Å.
Fractional positions:
Cd: 0.0000 0.0000 0.0000  6 Ag 2.90, 6 Cd 3.02
Cd: 0.3333 0.6667 0.6667  6 Ag 2.90, 6 Cd 3.02
Cd: 0.6667 0.3333 0.3333  6 Ag 2.90, 6 Cd 3.02
Ag: 0.0000 0.0000 0.2510  3 Cd 2.90, 3 Hg 2.94, 6 Ag 3.02
Ag: 0.0000 0.0000 0.7490  3 Cd 2.90, 3 Hg 2.94, 6 Ag 3.02
Ag: 0.3333 0.6667 0.4156  3 Cd 2.90, 3 Hg 2.94, 6 Ag 3.02
Ag: 0.3333 0.6667 0.9177  3 Cd 2.90, 3 Hg 2.94, 6 Ag 3.02
Ag: 0.6667 0.3333 0.0823  3 Cd 2.90, 3 Hg 2.94, 6 Ag 3.02
Ag: 0.6667 0.3333 0.5844  3 Cd 2.90, 3 Hg 2.94, 6 Ag 3.02
Hg: 0.0000 0.0000 0.5000  6 Ag 2.94, 6 Hg 3.02
Hg: 0.3333 0.6667 0.1667  6 Ag 2.94, 6 Hg 3.02
Hg: 0.6667 0.3333 0.8333  6 Ag 2.94, 6 Hg 3.02

Entry 4:
A PBEsol-optimized structure of Cs2InAgBr6, computed with meta-GGA SCAN.

Properties
Uncorrected formation energy (eV/atom): -1.3060

a b c (Å): 7.7086 7.7086 7.7086
angles (deg): 60.00 60.00 60.00
Last column: nearest neighbours and their distance in Å.
Fractional positions:
Cs: 0.2500 0.2500 0.2500  12 Br 3.85
Cs: 0.7500 0.7500 0.7500  12 Br 3.85
In: 0.0000 0.0000 0.0000  6 Br 2.69
Ag: 0.5000 0.5000 0.5000  6 Br 2.76
Br: 0.2469 0.2469 0.7531  1 In 2.69, 1 Ag 2.76
Br: 0.2469 0.7531 0.2469  1 In 2.69, 1 Ag 2.76
Br: 0.2469 0.7531 0.7531  1 In 2.69, 1 Ag 2.76
Br: 0.7531 0.2469 0.2469  1 In 2.69, 1 Ag 2.76
Br: 0.7531 0.2469 0.7531  1 In 2.69, 1 Ag 2.76
Br: 0.7531 0.7531 0.2469  1 In 2.69, 1 Ag 2.76

Entry 5:
A PBEsol-optimized structure of Na2LaPCO7, computed with meta-GGA SCAN.

Properties
Uncorrected formation energy (eV/atom): -2.5708
DOS at the Fermi energy (states/eV/atom): 0.0000

a b c (Å): 5.1876 7.0786 9.4254
angles (deg): 90.00 90.41 90.00
Last column: nearest neighbours and their distance in Å.
Fractional positions:
Na: 0.2416 0.0083 0.1947  5 O 2.29-2.54
Na: 0.2416 0.4917 0.1947  5 O 2.29-2.54
Na: 0.7584 0.5083 0.8053  5 O 2.29-2.54
Na: 0.7584 0.9917 0.8053  5 O 2.29-2.54
La: 0.2905 0.2500 0.5920  7 O 2.39-2.64
La: 0.7095 0.7500 0.4080  7 O 2.39-2.64
P: 0.2195 0.7500 0.5983  4 O 1.54-1.57
P: 0.7805 0.2500 0.4017  4 O 1.54-1.57
C: 0.2682 0.2500 0.8997  3 O 1.26-1.32
C: 0.7318 0.7500 0.1003  3 O 1.26-1.32
O: 0.0611 0.2500 0.3493  1 P 1.54
O: 0.0638 0.2500 0.8156  1 C 1.32
O: 0.2024 0.7500 0.4318  1 P 1.57
O: 0.2494 0.2500 0.0331  1 C 1.26
O: 0.3764 0.5740 0.6433  1 P 1.55
O: 0.3764 0.9260 0.6433  1 P 1.55
O: 0.4890 0.2500 0.8338  1 C 1.31
O: 0.5110 0.7500 0.1662  1 C 1.31
O: 0.6236 0.0740 0.3567  1 P 1.55
O: 0.6236 0.4260 0.3567  1 P 1.55
O: 0.7506 0.7500 0.9669  1 C 1.26
O: 0.7976 0.2500 0.5682  1 P 1.57
O: 0.9362 0.7500 0.1844  1 C 1.32
O: 0.9389 0.7500 0.6507  1 P 1.54

Entry 6:
A PBEsol-optimized structure of SrTaTe2, computed with meta-GGA SCAN.

Properties
Uncorrected formation energy (eV/atom): -0.3862
DOS at the Fermi energy (states/eV/atom): 0.6010

a b c (Å): 3.5298 3.5298 7.7704
angles (deg): 90.00 90.00 90.00
Last column: nearest neighbours and their distance in Å.
Fractional positions:
Sr: 0.0000 0.0000 0.0000  8 Te 3.37, 4 Sr 3.53
Ta: 0.0000 0.0000 0.5000  8 Te 2.97
Te: 0.5000 0.5000 0.2920  4 Ta 2.97, 1 Te 3.23
Te: 0.5000 0.5000 0.7080  4 Ta 2.97, 1 Te 3.23

Entry 7:
A PBEsol-optimized structure of K2Mg2Zn, computed with meta-GGA SCAN.

Properties
ΔE_f (kJ/mol of formula units): 135
DOS at the Fermi energy (states/eV/atom): 0.5209

a b c (Å): 4.1622 4.1622 21.5007
angles (deg): 90.00 90.00 90.00
Last column: nearest neighbours and their distance in Å.
Fractional positions:
K: 0.0000 0.0000 0.0974  4 Zn 3.61, 4 Mg 3.88
K: 0.0000 0.0000 0.9026  4 Zn 3.61, 4 Mg 3.88
K: 0.5000 0.5000 0.4026  4 Zn 3.61, 4 Mg 3.88
K: 0.5000 0.5000 0.5974  4 Zn 3.61, 4 Mg 3.88
Mg: 0.0000 0.5000 0.2500  4 Mg 2.94
Mg: 0.0000 0.5000 0.7500  4 Mg 2.94
Mg: 0.5000 0.0000 0.2500  4 Mg 2.94
Mg: 0.5000 0.0000 0.7500  4 Mg 2.94
Zn: 0.0000 0.0000 0.5000  8 K 3.61
Zn: 0.5000 0.5000 0.0000  8 K 3.61

Entry 8:
A PBEsol-optimized structure of YCd, computed with meta-GGA SCAN.

Properties
ΔE_f (kJ/mol of formula units): -74
DOS at the Fermi energy (states/eV/atom): 0.8805

a b c (Å): 10.6621 9.1244 6.2841
angles (deg): 90.00 90.00 90.00
Last column: nearest neighbours and their distance in Å.
Fractional positions:
Y: 0.1162 0.2500 0.0000  2 Y 3.14, 6 Cd 3.17-3.35
Y: 0.1162 0.2500 0.5000  2 Y 3.14, 6 Cd 3.17-3.35
Y: 0.1808 0.6294 0.2500  5 Cd 3.00-3.22
Y: 0.1808 0.8706 0.7500  5 Cd 3.00-3.22
Y: 0.3708 0.0456 0.2500  9 Cd 3.10-3.29
Y: 0.3708 0.4544 0.7500  9 Cd 3.10-3.29
Y: 0.6292 0.5456 0.2500  9 Cd 3.10-3.29
Y: 0.6292 0.9544 0.7500  9 Cd 3.10-3.29
Y: 0.8192 0.1294 0.2500  5 Cd 3.00-3.22
Y: 0.8192 0.3706 0.7500  5 Cd 3.00-3.22
Y: 0.8838 0.7500 0.0000  2 Y 3.14, 6 Cd 3.17-3.35
Y: 0.8838 0.7500 0.5000  2 Y 3.14, 6 Cd 3.17-3.35
Cd: 0.0800 0.5484 0.7500  9 Y 3.13-3.40
Cd: 0.0800 0.9516 0.2500  9 Y 3.13-3.40
Cd: 0.3687 0.1147 0.7500  7 Y 3.00-3.35, 2 Cd 3.00
Cd: 0.3687 0.3853 0.2500  7 Y 3.00-3.35, 2 Cd 3.00
Cd: 0.4219 0.7500 0.0000  4 Cd 3.00-3.14, 6 Y 3.17-3.29
Cd: 0.4219 0.7500 0.5000  4 Cd 3.00-3.14, 6 Y 3.17-3.29
Cd: 0.5781 0.2500 0.0000  4 Cd 3.00-3.14, 6 Y 3.17-3.29
Cd: 0.5781 0.2500 0.5000  4 Cd 3.00-3.14, 6 Y 3.17-3.29
Cd: 0.6313 0.6147 0.7500  7 Y 3.00-3.35, 2 Cd 3.00
Cd: 0.6313 0.8853 0.2500  7 Y 3.00-3.35, 2 Cd 3.00
Cd: 0.9200 0.0484 0.7500  9 Y 3.13-3.40
Cd: 0.9200 0.4516 0.2500  9 Y 3.13-3.40

Entry 9:
A PBEsol-optimized structure of Re5Se, computed with meta-GGA SCAN.

Properties
Uncorrected formation energy (eV/atom): 0.4281
DOS at the Fermi energy (states/eV/atom): 0.7155

a b c (Å): 4.7666 4.7666 4.4984
angles (deg): 90.00 90.00 120.00
Last column: nearest neighbours and their distance in Å.
Fractional positions:
Re: 0.0000 0.3435 0.0000  10 Re 2.71-2.84, 2 Se 2.78
Re: 0.3333 0.6667 0.5000  9 Re 2.74-2.75, 3 Se 2.75
Re: 0.3435 0.0000 0.0000  10 Re 2.71-2.84, 2 Se 2.78
Re: 0.6565 0.6565 0.0000  10 Re 2.71-2.84, 2 Se 2.78
Re: 0.6667 0.3333 0.5000  9 Re 2.74-2.75, 3 Se 2.75
Se: 0.0000 0.0000 0.5000  12 Re 2.75-2.78

Entry 10:
A PBEsol-optimized structure of ZrNbB2, computed with meta-GGA SCAN.

Properties
ΔE_f (kJ/mol of formula units): -292
DOS at the Fermi energy (states/eV/atom): 0.3354

a b c (Å): 3.1779 3.3944 9.0719
angles (deg): 90.00 90.00 90.00
Last column: nearest neighbours and their distance in Å.
Fractional positions:
Zr: 0.0000 0.0000 0.0000  7 B 2.49-2.66
Zr: 0.0000 0.5000 0.5000  7 B 2.49-2.66
Nb: 0.5000 0.0000 0.7128  6 B 2.41-2.44
Nb: 0.5000 0.5000 0.2128  6 B 2.41-2.44
B: 0.0000 0.0000 0.2931  2 B 1.87
B: 0.0000 0.5000 0.7931  2 B 1.87
B: 0.5000 0.0000 0.4010  2 B 1.87
B: 0.5000 0.5000 0.9010  2 B 1.87

Entry 11:
A PBEsol-optimized structure of NbZnW3, computed with meta-GGA SCAN.

Properties
ΔE_f (kJ/mol of formula units): 1223
DOS at the Fermi energy (states/eV/atom): 0.7494

a b c (Å): 4.7248 4.7248 4.7248
angles (deg): 90.00 90.00 90.00
Last column: nearest neighbours and their distance in Å.
Fractional positions:
Nb: 0.0000 0.0000 0.0000  6 W 2.36
Zn: 0.5000 0.5000 0.5000  12 W 3.34
W: 0.0000 0.0000 0.5000  2 Nb 2.36
W: 0.0000 0.5000 0.0000  2 Nb 2.36
W: 0.5000 0.0000 0.0000  2 Nb 2.36

Entry 12:
A PBEsol-optimized structure of Zn2PbBr, computed with meta-GGA SCAN.

Properties
Uncorrected formation energy (eV/atom): 0.3185
DOS at the Fermi energy (states/eV/atom): 0.8027

a b c (Å): 7.1437 7.1437 7.1437
angles (deg): 90.00 90.00 90.00
Last column: nearest neighbours and their distance in Å.
Fractional positions:
Zn: 0.2500 0.2500 0.2500  4 Pb 3.09, 4 Br 3.09
Zn: 0.2500 0.2500 0.7500  4 Br 3.09, 4 Pb 3.09
Zn: 0.2500 0.7500 0.2500  4 Br 3.09, 4 Pb 3.09
Zn: 0.2500 0.7500 0.7500  4 Pb 3.09, 4 Br 3.09
Zn: 0.7500 0.2500 0.2500  4 Br 3.09, 4 Pb 3.09
Zn: 0.7500 0.2500 0.7500  4 Pb 3.09, 4 Br 3.09
Zn: 0.7500 0.7500 0.2500  4 Pb 3.09, 4 Br 3.09
Zn: 0.7500 0.7500 0.7500  4 Br 3.09, 4 Pb 3.09
Pb: 0.0000 0.0000 0.0000  8 Zn 3.09
Pb: 0.0000 0.5000 0.5000  8 Zn 3.09
Pb: 0.5000 0.0000 0.5000  8 Zn 3.09
Pb: 0.5000 0.5000 0.0000  8 Zn 3.09
Br: 0.0000 0.0000 0.5000  8 Zn 3.09
Br: 0.0000 0.5000 0.0000  8 Zn 3.09
Br: 0.5000 0.0000 0.0000  8 Zn 3.09
Br: 0.5000 0.5000 0.5000  8 Zn 3.09

In eV/atom, the energy values for the records above are, in order, -14.676; -27.779; -40.310; -27.019; -12.208; -41.226; -7.745; -29.515; -62.166; -20.429; -48.606; -30.249.